[1]
The following is a PBE-GGA calculation of a relaxed KBa2GaF8 crystal, from Alexandria via LeMat-Bulk.

## Properties
**Formation energy from raw total energies**: -3.249 eV/atom

Lattice parameters (Å, degrees): 4.611 5.668 8.337 89.99 90.00 99.24
Sites, in units of the cell vectors:
K (0.000, 0.000, 0.500)
Ba (0.500, 0.500, 0.759)
Ba (0.500, 0.500, 0.241)
Ga (0.000, 0.000, 0.000)
F (0.074, 0.782, 0.175)
F (0.622, 0.808, 0.000)
F (0.926, 0.218, 0.175)
F (0.926, 0.218, 0.825)
F (0.378, 0.192, 0.000)
F (0.074, 0.782, 0.825)
F (0.447, 0.737, 0.500)
F (0.553, 0.263, 0.500)

***

[2]
The following is a PBE-GGA calculation of a relaxed BeHgW2 crystal, from Alexandria via LeMat-Bulk.

## Properties
**Energy above the lowest structure with this stoichiometry**: 176.8 meV/atom
**Energy of formation**: 0.620 eV per atom

Lattice parameters (Å, degrees): 4.950 4.950 4.950 140.59 125.72 69.12
Sites, in units of the cell vectors:
Be (0.497, 0.497, 0.000)
Hg (0.277, 0.777, 0.500)
W (0.993, 0.993, 0.000)
W (0.733, 0.233, 0.500)

***

[3]
The following is a PBE-GGA calculation of a relaxed ScMo2Cl crystal, from Alexandria via LeMat-Bulk.

## Properties
**Formation energy from raw total energies**: 0.434 eV/atom
**Energy above the lowest structure with this stoichiometry**: 663.2 meV/atom

Lattice parameters (Å, degrees): 9.245 9.245 9.245 18.51 18.51 18.51
Sites, in units of the cell vectors:
Cl (0.750, 0.750, 0.750)
Mo (0.006, 0.006, 0.006)
Mo (0.494, 0.494, 0.494)
Sc (0.250, 0.250, 0.250)

***

[4]
The following is a PBE-GGA calculation of a relaxed Pr2MgGa3Cu4 crystal, from Alexandria via LeMat-Bulk.

## Properties
**Energy of formation**: -0.368 eV per atom

Lattice parameters (Å, degrees): 4.294 4.294 10.240 90.00 90.00 90.00
Sites, in units of the cell vectors:
Pr (0.500, 0.000, 0.233)
Pr (0.000, 0.500, 0.767)
Mg (0.500, 0.500, 0.500)
Ga (0.000, 0.000, 0.500)
Ga (0.500, 0.000, 0.875)
Ga (0.000, 0.500, 0.125)
Cu (0.500, 0.500, 0.000)
Cu (0.000, 0.000, 0.000)
Cu (0.500, 0.000, 0.640)
Cu (0.000, 0.500, 0.360)

***

[5]
The following is a PBE-GGA calculation of a relaxed Hg2H2Pd crystal, from Alexandria via LeMat-Bulk.

## Properties
**Energy above the lowest structure with this stoichiometry**: 272.2 meV/atom

Lattice parameters (Å, degrees): 3.164 3.164 7.140 77.20 77.20 90.00
Sites, in units of the cell vectors:
H (0.750, 0.250, 0.500)
H (0.250, 0.750, 0.500)
Hg (0.364, 0.364, 0.272)
Hg (0.636, 0.636, 0.728)
Pd (0.000, 0.000, 0.000)

***

[6]
The following is a PBE-GGA calculation of a relaxed BaLa3S crystal, from Alexandria via LeMat-Bulk.

## Properties
**Formation energy from raw total energies**: -0.687 eV/atom
**Energy above the lowest structure with this stoichiometry**: 0.0 meV/atom

Lattice parameters (Å, degrees): 5.736 5.736 5.736 90.00 90.00 90.00
Sites, in units of the cell vectors:
S (0.000, 0.000, 0.000)
Ba (0.500, 0.500, 0.500)
La (0.000, 0.500, 0.000)
La (0.000, 0.000, 0.500)
La (0.500, 0.000, 0.000)

***

[7]
The following is a PBE-GGA calculation of a relaxed HfSn2HgSb crystal, from Alexandria via LeMat-Bulk.

## Properties
**Formation energy from raw total energies**: 0.215 eV/atom

Lattice parameters (Å, degrees): 5.586 5.479 5.586 90.00 90.00 90.00
Sites, in units of the cell vectors:
Sb (0.000, 0.500, 0.000)
Hf (0.000, 0.000, 0.000)
Hg (0.500, 0.500, 0.500)
Sn (0.000, 0.000, 0.500)
Sn (0.500, 0.000, 0.000)

***

[8]
The following is a PBE-GGA calculation of a relaxed Nd2TaI crystal, from Alexandria via LeMat-Bulk.

## Properties
**Formation energy from raw total energies**: 0.450 eV/atom

Lattice parameters (Å, degrees): 3.488 3.488 11.284 81.11 81.11 60.00
Sites, in units of the cell vectors:
I (0.500, 0.500, 0.500)
Nd (0.088, 0.088, 0.735)
Nd (0.912, 0.912, 0.265)
Ta (0.000, 0.000, 0.000)

***

| no. | calculated density (g cm⁻³) | total energy (eV/atom) | spin magnetization (μB per formula unit) |
| --- | --- | --- | --- |
| 1 | 4.134 | -5.16 | 0.0 |
| 2 | 15.602 | -6.86 | 0.0 |
| 3 | 6.500 | -7.03 | 0.0 |
| 4 | 6.768 | -4.03 | 0.0 |
| 5 | 12.470 | -2.09 | 0.0 |
| 6 | 5.157 | -4.85 | 0.0 |
| 7 | 7.170 | -4.26 | 0.0 |
| 8 | 8.464 | -5.28 | 0.0 |